CePuTh: relaxed, PBE-GGA.

Summary:
- Energy of formation: 33.1 kJ/mol of formula units
- Polymorph energy (0 for the lowest one): 0.0152 eV per atom

a b c (Å): 3.4618 3.4618 8.2243
angles (deg): 90.00 90.00 120.00
Fractional positions:
Ce  0.0000  0.0000  0.0000
Pu  0.6667  0.3333  0.3217
Th  0.3333  0.6667  0.6579